## SnMo3O (PBE+U)

Data for an optimized crystal structure of SnMo3O.

The space group is Pm-3m (No. 221) and the conventional cell measures 5.497, 5.497 and 5.497 Å, with angles of 90.00, 90.00 and 90.00 degrees. The inequivalent atoms are Sn at (0.000, 0.000, 0.000), Mo at (0.000, 0.000, 0.500) and O at (0.500, 0.500, 0.500).

Its crystal system is cubic. As for the total energy: -20.39 eV per cell.